CsCoWO3F3: optimized geometry, PBE+U.

V ... 300.68 Å³/cell
Raw total energy ... -5.92 eV per atom

a = 7.425 Å, b = 7.425 Å, c = 7.482 Å
α = 61.59°, β = 61.59°, γ = 91.87°
Each line ends with the local moment (μB).
Element x y z (fractional)
F  0.682  0.911  0.740  0.01
F  0.911  0.682  0.240  0.01
F  0.318  0.089  0.260  0.01
O  0.968  0.713  0.595  0.03
O  0.713  0.968  0.095  0.03
W  0.000  0.000  0.500  0.03
W  0.000  0.000  0.000  0.03
O  0.032  0.287  0.405  0.03
O  0.947  0.053  0.250  0.00
O  0.287  0.032  0.905  0.03
Co  0.500  0.000  0.000  2.76
Cs  0.379  0.621  0.750  0.00
F  0.671  0.329  0.750  0.07
O  0.053  0.947  0.750  0.00
F  0.329  0.671  0.250  0.07
Cs  0.621  0.379  0.250  0.00
F  0.089  0.318  0.760  0.01
Co  0.000  0.500  0.500  2.76